(1)
The following is a PBE calculation of a geometry-optimized LuNi4As2 structure, from OQMD via LeMat-Bulk.

Unit cell a=7.1662 b=7.1662 c=3.7719 alpha=90.00 beta=90.00 gamma=90.00
Space group P4_2/mnm (No. 136)
Asymmetric unit:
1 Lu 0.0000 0.0000 0.0000
2 Ni 0.0895 0.3458 0.5000
3 As 0.2172 0.7828 0.5000

## Properties
Its crystal system is tetragonal.

***

(2)
The following is a PBE calculation of a geometry-optimized LuNi2As structure, from OQMD via LeMat-Bulk.

Unit cell a=6.2641 b=6.2641 c=6.2641 alpha=90.00 beta=90.00 gamma=90.00
Space group F-43m (No. 216)
Asymmetric unit:
1 Lu 0.0000 0.0000 0.0000
2 Ni 0.0000 0.0000 0.5000
3 Ni 0.2500 0.2500 0.2500
4 As 0.2500 0.2500 0.7500

## Properties
Its crystal system is cubic.

***

(3)
The following is a PBE calculation of a geometry-optimized LuNiAsPd structure, from OQMD via LeMat-Bulk.

Unit cell a=6.4127 b=6.4127 c=6.4127 alpha=90.00 beta=90.00 gamma=90.00
Space group F-43m (No. 216)
Asymmetric unit:
1 Lu 0.0000 0.0000 0.0000
2 Ni 0.2500 0.2500 0.7500
3 As 0.0000 0.0000 0.5000
4 Pd 0.2500 0.2500 0.2500

## Properties
The calculation puts the energy above the lowest structure with this stoichiometry at 0.00 eV/f.u. Its crystal system is cubic.

***

(4)
The following is a PBE calculation of a geometry-optimized LuNiAsPd structure, from OQMD via LeMat-Bulk.

Unit cell a=6.4775 b=6.4775 c=6.4775 alpha=90.00 beta=90.00 gamma=90.00
Space group F-43m (No. 216)
Asymmetric unit:
1 Lu 0.0000 0.0000 0.0000
2 Ni 0.0000 0.0000 0.5000
3 As 0.2500 0.2500 0.2500
4 Pd 0.2500 0.2500 0.7500

## Properties
The calculation puts the energy above the lowest structure with this stoichiometry at 0.27 eV/f.u. Its crystal system is cubic.

***

(5)
The following is a PBE calculation of a geometry-optimized LuReNiAs structure, from OQMD via LeMat-Bulk.

Unit cell a=6.4715 b=6.4715 c=6.4715 alpha=90.00 beta=90.00 gamma=90.00
Space group F-43m (No. 216)
Asymmetric unit:
1 Lu 0.0000 0.0000 0.0000
2 Re 0.2500 0.2500 0.7500
3 Ni 0.0000 0.0000 0.5000
4 As 0.2500 0.2500 0.2500

## Properties
Its crystal system is cubic.

***

(6)
The following is a PBE calculation of a geometry-optimized Lu2Ni2SbAs structure, from OQMD via LeMat-Bulk.

Unit cell a=10.6273 b=4.3389 c=10.6286 alpha=90.00 beta=109.48 gamma=90.00
Space group Pm (No. 6)
Asymmetric unit:
1 Lu 0.0000 0.0000 0.0000
2 Lu 0.1158 0.5000 0.3736
3 Lu 0.2380 0.0000 0.7543
4 Lu 0.3618 0.5000 0.1208
5 Lu 0.4846 0.0000 0.4940
6 Lu 0.6103 0.5000 0.8796
7 Lu 0.7410 0.0000 0.2511
8 Lu 0.8758 0.5000 0.6261
9 Ni 0.1190 0.5000 0.1253
10 Ni 0.2355 0.0000 0.4983
11 Ni 0.3626 0.5000 0.8770
12 Ni 0.4861 0.0000 0.2438
13 Ni 0.6165 0.5000 0.6252
14 Ni 0.7397 0.0000 0.0006
15 Ni 0.8695 0.5000 0.3775
16 Ni 0.9940 0.0000 0.7504
17 Sb 0.3640 0.5000 0.6253
18 Sb 0.6153 0.5000 0.3747
19 Sb 0.7404 0.0000 0.7499
20 Sb 0.8667 0.5000 0.1239
21 As 0.1181 0.5000 0.8759
22 As 0.2408 0.0000 0.2484
23 As 0.4887 0.0000 0.0015
24 As 0.9932 0.0000 0.4997

## Properties
Its crystal system is monoclinic.

***

(7)
The following is a PBE calculation of a geometry-optimized LuTaNiAs structure, from OQMD via LeMat-Bulk.

Unit cell a=6.4951 b=6.4951 c=6.4951 alpha=90.00 beta=90.00 gamma=90.00
Space group F-43m (No. 216)
Asymmetric unit:
1 Lu 0.0000 0.0000 0.0000
2 Ta 0.2500 0.2500 0.2500
3 Ni 0.2500 0.2500 0.7500
4 As 0.0000 0.0000 0.5000

## Properties
The calculation puts the energy above the lowest structure with this stoichiometry at 0.00 eV/f.u. Its crystal system is cubic.

***

(8)
The following is a PBE calculation of a geometry-optimized LuTcNiAs structure, from OQMD via LeMat-Bulk.

Unit cell a=6.3082 b=6.3082 c=6.3082 alpha=90.00 beta=90.00 gamma=90.00
Space group F-43m (No. 216)
Asymmetric unit:
1 Lu 0.0000 0.0000 0.0000
2 Tc 0.2500 0.2500 0.2500
3 Ni 0.2500 0.2500 0.7500
4 As 0.0000 0.0000 0.5000

## Properties
The calculation puts the energy above the lowest structure with this stoichiometry at 0.00 eV/f.u. Its crystal system is cubic.

***

(9)
The following is a PBE calculation of a geometry-optimized LuTcNiAs structure, from OQMD via LeMat-Bulk.

Unit cell a=6.4707 b=6.4707 c=6.4707 alpha=90.00 beta=90.00 gamma=90.00
Space group F-43m (No. 216)
Asymmetric unit:
1 Lu 0.0000 0.0000 0.0000
2 Tc 0.2500 0.2500 0.7500
3 Ni 0.0000 0.0000 0.5000
4 As 0.2500 0.2500 0.2500

## Properties
The calculation puts the energy above the lowest structure with this stoichiometry at 1.47 eV/f.u. Its crystal system is cubic.

***

(10)
The following is a PBE calculation of a geometry-optimized TmLuNi2As2 structure, from OQMD via LeMat-Bulk.

Unit cell a=4.0271 b=4.0271 c=14.9285 alpha=90.00 beta=90.00 gamma=120.00
Space group P6_3/mmc (No. 194)
Asymmetric unit:
1 Tm 0.0000 0.0000 0.0000
2 Lu 0.0000 0.0000 0.2500
3 Ni 0.3333 0.6667 0.1363
4 As 0.3333 0.6667 0.6199

## Properties
The calculation puts the energy above the lowest structure with this stoichiometry at 0.00 eV/f.u. Its crystal system is hexagonal.

***

(11)
The following is a PBE calculation of a geometry-optimized LuNiAsW structure, from OQMD via LeMat-Bulk.

Unit cell a=6.5429 b=6.5429 c=6.5429 alpha=90.00 beta=90.00 gamma=90.00
Space group F-43m (No. 216)
Asymmetric unit:
1 Lu 0.0000 0.0000 0.0000
2 Ni 0.0000 0.0000 0.5000
3 As 0.2500 0.2500 0.2500
4 W 0.2500 0.2500 0.7500

## Properties
Its crystal system is cubic.

***

(12)
The following is a PBE calculation of a geometry-optimized YLuNiAs structure, from OQMD via LeMat-Bulk.

Unit cell a=6.8810 b=6.8810 c=6.8810 alpha=90.00 beta=90.00 gamma=90.00
Space group F-43m (No. 216)
Asymmetric unit:
1 Y 0.0000 0.0000 0.0000
2 Lu 0.2500 0.2500 0.2500
3 Ni 0.2500 0.2500 0.7500
4 As 0.0000 0.0000 0.5000

## Properties
Its crystal system is cubic.

***

(13)
The following is a PBE calculation of a geometry-optimized LuZnNiAs structure, from OQMD via LeMat-Bulk.

Unit cell a=6.4640 b=6.4640 c=6.4640 alpha=90.00 beta=90.00 gamma=90.00
Space group F-43m (No. 216)
Asymmetric unit:
1 Lu 0.0000 0.0000 0.0000
2 Zn 0.2500 0.2500 0.7500
3 Ni 0.0000 0.0000 0.5000
4 As 0.2500 0.2500 0.2500

## Properties
Its crystal system is cubic.

***

(14)
The following is a PBE calculation of a geometry-optimized LuZrNiAs structure, from OQMD via LeMat-Bulk.

Unit cell a=6.7101 b=6.7101 c=6.7101 alpha=90.00 beta=90.00 gamma=90.00
Space group F-43m (No. 216)
Asymmetric unit:
1 Lu 0.0000 0.0000 0.0000
2 Zr 0.2500 0.2500 0.7500
3 Ni 0.0000 0.0000 0.5000
4 As 0.2500 0.2500 0.2500

## Properties
Its crystal system is cubic.

***

(15)
The following is a PBE calculation of a geometry-optimized Lu5Zr3Ni16As12 structure, from OQMD via LeMat-Bulk.

Unit cell a=12.7238 b=12.7238 c=3.8694 alpha=90.00 beta=90.00 gamma=120.00
Space group P-62m (No. 189)
Asymmetric unit:
1 Lu 0.0000 0.1819 0.0000
2 Lu 0.3333 0.6667 0.5000
3 Zr 0.0000 0.5617 0.5000
4 Ni 0.0000 0.0000 0.5000
5 Ni 0.0000 0.7239 0.0000
6 Ni 0.1219 0.4821 0.0000
7 Ni 0.1825 0.8082 0.5000
8 As 0.0000 0.3531 0.5000
9 As 0.0000 0.8231 0.5000
10 As 0.1733 0.6919 0.0000

## Properties
Its crystal system is hexagonal.

***

(16)
The following is a PBE calculation of a geometry-optimized Lu2AsO4 structure, from OQMD via LeMat-Bulk.

Unit cell a=9.3409 b=9.3409 c=9.3409 alpha=90.00 beta=90.00 gamma=90.00
Space group Fd-3m (No. 227, origin choice 2)
Asymmetric unit:
1 Lu 0.0000 0.0000 0.0000
2 As 0.1250 0.1250 0.6250
3 O 0.0138 0.0138 0.2362

## Properties
Its crystal system is cubic.

***

(17)
The following is a PBE calculation of a geometry-optimized LuAsOsO structure, from OQMD via LeMat-Bulk.

Unit cell a=4.0312 b=4.0312 c=7.7473 alpha=90.00 beta=90.00 gamma=90.00
Space group P4/nmm (No. 129, origin choice 2)
Asymmetric unit:
1 Lu 0.2500 0.2500 0.1247
2 As 0.2500 0.2500 0.6798
3 Os 0.2500 0.7500 0.5000
4 O 0.2500 0.7500 0.0000

## Properties
The calculation puts the energy above the lowest structure with this stoichiometry at 0.00 eV/f.u. Its crystal system is tetragonal.

***

(18)
The following is a PBE calculation of a geometry-optimized LuAsOsO structure, from OQMD via LeMat-Bulk.

Unit cell a=4.2951 b=4.2951 c=6.5895 alpha=90.00 beta=90.00 gamma=90.00
Space group P4/nmm (No. 129, origin choice 2)
Asymmetric unit:
1 Lu 0.2500 0.7500 0.0000
2 As 0.2500 0.2500 0.2814
3 Os 0.2500 0.2500 0.6572
4 O 0.2500 0.7500 0.5000

## Properties
The calculation puts the energy above the lowest structure with this stoichiometry at 6.98 eV/f.u. Its crystal system is tetragonal.

***

(19)
The following is a PBE calculation of a geometry-optimized LuAsPdO structure, from OQMD via LeMat-Bulk.

Unit cell a=5.5874 b=5.5874 c=4.6106 alpha=90.00 beta=90.00 gamma=90.00
Space group P4/nmm (No. 129, origin choice 2)
Asymmetric unit:
1 Lu 0.2500 0.7500 0.0000
2 As 0.2500 0.2500 0.0036
3 Pd 0.2500 0.2500 0.5034
4 O 0.2500 0.7500 0.5000

## Properties
The calculation puts the energy above the lowest structure with this stoichiometry at 3.41 eV/f.u. Its crystal system is tetragonal.

***

(20)
The following is a PBE calculation of a geometry-optimized LuAsPdO structure, from OQMD via LeMat-Bulk.

Unit cell a=4.0244 b=4.0244 c=7.9586 alpha=90.00 beta=90.00 gamma=90.00
Space group P4/nmm (No. 129, origin choice 2)
Asymmetric unit:
1 Lu 0.2500 0.2500 0.1226
2 As 0.2500 0.2500 0.6853
3 Pd 0.2500 0.7500 0.5000
4 O 0.2500 0.7500 0.0000

## Properties
The calculation puts the energy above the lowest structure with this stoichiometry at 0.00 eV/f.u. Its crystal system is tetragonal.

***

Number 1: final energy -5.7816 eV per atom. Number 2: final energy -5.3964 eV per atom. Number 3: final energy -5.5717 eV per atom. Number 4: final energy -5.5042 eV per atom. Number 5: final energy -6.3127 eV per atom. Number 6: final energy -5.7368 eV per atom. Number 7: final energy -6.3810 eV per atom. Number 8: final energy -6.4085 eV per atom. Number 9: final energy -6.0421 eV per atom. Number 10: final energy -5.9509 eV per atom. Number 11: final energy -6.3218 eV per atom. Number 12: final energy -5.2901 eV per atom. Number 13: final energy -4.3503 eV per atom. Number 14: final energy -5.6818 eV per atom. Number 15: final energy -6.1785 eV per atom. Number 16: final energy -7.2562 eV per atom. Number 17: final energy -8.0091 eV per atom. Number 18: final energy -6.2631 eV per atom. Number 19: final energy -5.7845 eV per atom. Number 20: final energy -6.6363 eV per atom.